First-principles (PBE-GGA) data for a relaxed structure of Bi3AsI, as listed in the Alexandria database.

Calculated values
DFT total energy   -3.090 eV/atom
DOS(E_F)   8.07 states/eV/f.u.
E above lowest polymorph   0 meV/atom
Symmetry   Pm-3m (221)
Mass density   7.6 g cm⁻³

The structure in POSCAR format:
```
Bi3AsI
1.0
5.660 0.000 0.000
0.000 5.660 0.000
0.000 0.000 5.660
I As Bi
1 1 3
direct
0.500 0.500 0.500 I
0.000 0.000 0.000 As
0.000 0.500 0.000 Bi
0.000 0.000 0.500 Bi
0.500 0.000 0.000 Bi
```